Below is crystalline LiHgSb2I at its relaxed geometry, with properties calculated at the PBE level.

Calculated values
Fermi-level density of states: 1.032 states/eV per atom
final energy: -2.12 eV/atom
formation energy without anion corrections: 0.28 eV per atom
space-group type: P4/mmm, No. 123
magnetic moment: 0.000 μB/f.u.

a = 5.170 Å, b = 5.170 Å, c = 5.482 Å
α = 90.00°, β = 90.00°, γ = 90.00°
Fractional positions:
Li  0.000  0.000  0.000
Hg  0.500  0.500  0.500
Sb  0.000  0.500  0.000
Sb  0.500  0.000  0.000
I  0.000  0.000  0.500